1.
VASP calculation (PBE-GGA) on YHfV3 after structural relaxation.

abc: 4.7457 4.7457 4.7457
angles: 90.00 90.00 90.00
With the nearest neighbours (Å) after each atom.
Space group Pm-3m (No. 221)
One atom of each set of equivalent atoms:
1 Y 0.0000 0.0000 0.0000 [1 per cell]  12 V 3.36
2 Hf 0.5000 0.5000 0.5000 [1 per cell]  6 V 2.37
3 V 0.0000 0.5000 0.5000 [3 per cell]  2 Hf 2.37

Values from the calculation:
Its total energy is -7.576 eV/atom. As for the crystal system: cubic. As for the energy of formation from the pure elements: 1.178 eV per atom. Its polymorph energy (0 for the lowest one) is 0.000 eV per formula unit.

2.
VASP calculation (PBE-GGA) on CdPC after structural relaxation.

abc: 3.7788 5.5515 5.9168
angles: 87.20 71.59 89.50
With the nearest neighbours (Å) after each atom.
Space group P-1 (No. 2)
One atom of each set of equivalent atoms:
1 Cd 0.1440 0.0073 0.2144 [2 per cell]  2 P 2.77-2.80, 2 Cd 3.06-3.07
2 P 0.1196 0.5024 0.2583 [2 per cell]  2 C 1.82
3 C 0.3201 0.4999 0.5001 [2 per cell]  1 C 1.36

Values from the calculation:
Its total energy is -4.798 eV/atom. As for the crystal system: triclinic. As for the energy of formation from the pure elements: 0.385 eV per atom. Its polymorph energy (0 for the lowest one) is 0.268 eV per formula unit.

3.
VASP calculation (PBE-GGA) on AsPbAu2 after structural relaxation.

abc: 4.0490 4.5544 4.6764
angles: 90.00 90.00 90.00
With the nearest neighbours (Å) after each atom.
Space group Pmmm (No. 47)
One atom of each set of equivalent atoms:
1 As 0.0000 0.0000 0.0000 [1 per cell]  8 Au 3.05-3.09, 4 Pb 3.26
2 Pb 0.0000 0.5000 0.5000 [1 per cell]  8 Au 3.05-3.09, 4 As 3.26
3 Au 0.5000 0.0000 0.5000 [1 per cell]  4 Pb 3.05, 4 As 3.09, 4 Au 3.26
4 Au 0.5000 0.5000 0.0000 [1 per cell]  4 As 3.05, 4 Pb 3.09, 4 Au 3.26

Values from the calculation:
Its total energy is -3.573 eV/atom. As for the crystal system: orthorhombic. As for the energy of formation from the pure elements: 0.156 eV per atom.

4.
VASP calculation (PBE-GGA) on Ho4Mg3In2 after structural relaxation.

abc: 5.2446 5.2446 10.0266
angles: 90.00 90.00 120.00
With the nearest neighbours (Å) after each atom.
Space group P-3m1 (No. 164)
One atom of each set of equivalent atoms:
1 Ho 0.0000 0.0000 0.1738 [2 per cell]  7 Mg 3.27-3.55, 3 In 3.29, 4 Ho 3.48-3.65
2 Ho 0.3333 0.6667 0.6234 [2 per cell]  4 In 3.12-3.23, 3 Mg 3.27
3 Mg 0.0000 0.0000 0.5000 [1 per cell]  8 Ho 3.27, 6 In 3.63
4 Mg 0.3333 0.6667 0.9881 [2 per cell]  3 Mg 3.04, 1 In 3.14
5 In 0.3333 0.6667 0.3010 [2 per cell]  7 Ho 3.12-3.29, 1 Mg 3.14

Values from the calculation:
Its total energy is -3.418 eV/atom. As for the crystal system: trigonal. As for the energy of formation from the pure elements: -0.243 eV per atom.

5.
VASP calculation (PBE-GGA) on MgCd3Se after structural relaxation.

abc: 5.3558 5.3558 5.3558
angles: 90.00 90.00 90.00
With the nearest neighbours (Å) after each atom.
Space group Pm-3m (No. 221)
One atom of each set of equivalent atoms:
1 Mg 0.0000 0.0000 0.0000 [1 per cell]  6 Cd 2.68
2 Cd 0.0000 0.0000 0.5000 [3 per cell]  2 Mg 2.68
3 Se 0.5000 0.5000 0.5000 [1 per cell]  12 Cd 3.79

Values from the calculation:
For the uncorrected formation energy, the calculation gives 0.42 eV/atom. Its total energy is -1.141 eV/atom. As for the crystal system: cubic. Its polymorph energy (0 for the lowest one) is 0.510 eV per formula unit.

6.
VASP calculation (PBE-GGA) on Dy2YHg after structural relaxation.

abc: 3.6533 3.6533 31.3888
angles: 90.00 90.00 120.00
With the nearest neighbours (Å) after each atom.
Space group R3m (No. 160, hexagonal axes)
One atom of each set of equivalent atoms:
1 Dy 0.0000 0.0000 0.0000 [3 per cell]  3 Hg 3.18, 3 Y 3.55
2 Dy 0.0000 0.0000 0.1818 [3 per cell]  3 Hg 3.17, 3 Y 3.55
3 Y 0.0000 0.0000 0.4242 [3 per cell]  6 Dy 3.55, 6 Y 3.65
4 Hg 0.0000 0.0000 0.5907 [3 per cell]  6 Dy 3.17-3.18

Values from the calculation:
Its total energy is -4.152 eV/atom. As for the crystal system: trigonal. As for the energy of formation from the pure elements: -0.160 eV per atom. Its polymorph energy (0 for the lowest one) is 0.269 eV per formula unit.

7.
VASP calculation (PBE-GGA) on CdSbAs after structural relaxation.

abc: 3.6205 3.6205 11.1555
angles: 90.00 90.00 90.00
With the nearest neighbours (Å) after each atom.
Space group I4mm (No. 107)
One atom of each set of equivalent atoms:
1 Cd 0.0000 0.0000 0.0000 [2 per cell]  4 As 3.21, 5 Sb 3.32-3.41
2 Sb 0.0000 0.0000 0.7021 [2 per cell]  4 As 2.91
3 As 0.0000 0.0000 0.3264 [2 per cell]  4 Sb 2.91, 4 Cd 3.21

Values from the calculation:
For the uncorrected formation energy, the calculation gives 0.20 eV/atom. Its total energy is -3.033 eV/atom. As for the crystal system: tetragonal. Its polymorph energy (0 for the lowest one) is 0.000 eV per formula unit.

8.
VASP calculation (PBE-GGA) on Sb2AuC after structural relaxation.

abc: 5.8467 5.8467 10.7231
angles: 90.00 90.00 90.00
With the nearest neighbours (Å) after each atom.
Space group I-42d (No. 122)
One atom of each set of equivalent atoms:
1 Sb 0.1898 0.2500 0.1250 [8 per cell]  2 C 2.27
2 Au 0.0000 0.0000 0.5000 [4 per cell]  4 Sb 2.69
3 C 0.0000 0.0000 0.0000 [4 per cell]  4 Sb 2.27

Values from the calculation:
For the uncorrected formation energy, the calculation gives 0.64 eV/atom. Its total energy is -4.551 eV/atom. As for the crystal system: tetragonal.

9.
VASP calculation (PBE-GGA) on CoHgSe2N after structural relaxation.

abc: 5.1160 5.1160 3.3953
angles: 90.00 90.00 90.00
With the nearest neighbours (Å) after each atom.
Space group P4/mmm (No. 123)
One atom of each set of equivalent atoms:
1 Co 0.0000 0.0000 0.0000 [1 per cell]  2 N 1.70
2 Hg 0.5000 0.5000 0.5000 [1 per cell]  8 Se 3.07, 2 Hg 3.40
3 Se 0.0000 0.5000 0.0000 [2 per cell]  2 Co 2.56
4 N 0.0000 0.0000 0.5000 [1 per cell]  2 Co 1.70

Values from the calculation:
For the uncorrected formation energy, the calculation gives 0.39 eV/atom. Its total energy is -4.154 eV/atom. As for the crystal system: tetragonal. Its polymorph energy (0 for the lowest one) is 0.000 eV per formula unit.

10.
VASP calculation (PBE-GGA) on PmScCu2Se4 after structural relaxation.

abc: 6.6564 6.9029 8.0221
angles: 90.00 90.00 90.00
With the nearest neighbours (Å) after each atom.
Space group I222 (No. 23)
One atom of each set of equivalent atoms:
1 Pm 0.0000 0.0000 0.0000 [2 per cell]  8 Se 3.02-3.34
2 Sc 0.0000 0.0000 0.5000 [2 per cell]  4 Se 2.59
3 Cu 0.0000 0.5000 0.1560 [4 per cell]  2 Se 2.38, 1 Cu 2.50
4 Se 0.2276 0.2206 0.3188 [8 per cell]  1 Cu 2.38, 1 Sc 2.59

Values from the calculation:
For the uncorrected formation energy, the calculation gives -1.00 eV/atom. Its total energy is -5.150 eV/atom. As for the crystal system: orthorhombic.

11.
VASP calculation (PBE-GGA) on U2InSe5 after structural relaxation.

abc: 7.9739 12.3580 3.9437
angles: 90.00 90.00 90.00
With the nearest neighbours (Å) after each atom.
Space group Pbam (No. 55)
One atom of each set of equivalent atoms:
1 U 0.0190 0.1751 0.0000 [4 per cell]  8 Se 2.93-3.06
2 In 0.0000 0.5000 0.5000 [2 per cell]  6 Se 2.72-2.86
3 Se 0.0000 0.0000 0.5000 [2 per cell]  4 U 2.93
4 Se 0.1664 0.3934 0.0000 [4 per cell]  2 In 2.72, 2 U 2.94
5 Se 0.1897 0.6966 0.5000 [4 per cell]  1 In 2.86, 4 U 3.03-3.06

Values from the calculation:
For the uncorrected formation energy, the calculation gives -0.94 eV/atom. Its total energy is -6.278 eV/atom. As for the crystal system: orthorhombic.

12.
VASP calculation (PBE-GGA) on LiNiP2Cl after structural relaxation.

abc: 4.3171 4.3171 4.5140
angles: 90.00 90.00 90.00
With the nearest neighbours (Å) after each atom.
Space group P4/mmm (No. 123)
One atom of each set of equivalent atoms:
1 Li 0.0000 0.0000 0.0000 [1 per cell]  4 P 2.16, 2 Cl 2.26
2 Ni 0.5000 0.5000 0.5000 [1 per cell]  4 Cl 3.05, 8 P 3.12
3 P 0.0000 0.5000 0.0000 [2 per cell]  2 Li 2.16
4 Cl 0.0000 0.0000 0.5000 [1 per cell]  2 Li 2.26

Values from the calculation:
For the uncorrected formation energy, the calculation gives 0.84 eV/atom. Its total energy is -3.229 eV/atom. As for the crystal system: tetragonal. Its polymorph energy (0 for the lowest one) is 4.930 eV per formula unit.

Q: Which of these has the lowest total energy?
A: YHfV3